Density functional theory data (PBE) for crystalline KNa2InF6 at its relaxed geometry. Values from VASP.

Quantum ESPRESSO input file:
```
&SYSTEM
  ibrav = 0, nat = 10, ntyp = 4
/
ATOMIC_SPECIES
K 39.10 K.upf
Na 22.99 Na.upf
In 114.82 In.upf
F 19.00 F.upf
CELL_PARAMETERS angstrom
5.936 0.001 0.001
2.968 5.140 0.000
2.969 1.714 5.339
ATOMIC_POSITIONS crystal
K 0.805 0.805 0.585
Na 0.526 0.526 0.423
Na 0.014 0.014 0.958
In 0.321 0.321 0.037
F 0.572 0.246 0.230
F 0.246 0.952 0.230
F 0.952 0.572 0.230
F 0.368 0.698 0.774
F 0.698 0.159 0.774
F 0.159 0.368 0.774
```

Calculated values
Volume = 162.9 Å³ per cell
Uncorrected formation energy = -2.712 eV per atom
Total magnetization = 0.27 μB per formula unit

***

Density functional theory data (PBE) for crystalline K3Na2InF9 at its relaxed geometry. Values from VASP.

Quantum ESPRESSO input file:
```
&SYSTEM
  ibrav = 0, nat = 15, ntyp = 4
/
ATOMIC_SPECIES
K 39.10 K.upf
Na 22.99 Na.upf
In 114.82 In.upf
F 19.00 F.upf
CELL_PARAMETERS angstrom
6.105 0.000 0.000
-3.052 5.287 0.000
0.000 0.000 7.783
ATOMIC_POSITIONS crystal
K 0.333 0.667 0.693
K 0.000 0.000 0.000
K 0.667 0.333 0.307
Na 0.333 0.667 0.182
Na 0.667 0.333 0.818
In 0.000 0.000 0.500
F 0.840 0.160 0.659
F 0.840 0.681 0.659
F 0.319 0.160 0.659
F 0.681 0.840 0.341
F 0.160 0.319 0.341
F 0.160 0.840 0.341
F 0.500 0.000 0.000
F 0.000 0.500 0.000
F 0.500 0.500 0.000
```

Calculated values
Volume = 251.2 Å³ per cell
Uncorrected formation energy = -2.540 eV per atom
Total magnetization = 1.18 μB per formula unit

***

Density functional theory data (PBE) for crystalline K2NaInF6 at its relaxed geometry. Values from VASP.

Quantum ESPRESSO input file:
```
&SYSTEM
  ibrav = 0, nat = 10, ntyp = 4
/
ATOMIC_SPECIES
K 39.10 K.upf
Na 22.99 Na.upf
In 114.82 In.upf
F 19.00 F.upf
CELL_PARAMETERS angstrom
6.163 0.000 0.000
3.082 5.338 0.000
3.082 1.779 5.032
ATOMIC_POSITIONS crystal
K 0.750 0.750 0.750
K 0.250 0.250 0.250
Na 0.500 0.500 0.500
In 0.000 0.000 0.000
F 0.759 0.241 0.241
F 0.241 0.241 0.759
F 0.241 0.759 0.759
F 0.241 0.759 0.241
F 0.759 0.241 0.759
F 0.759 0.759 0.241
```

Calculated values
Volume = 165.6 Å³ per cell
Uncorrected formation energy = -2.747 eV per atom
Total magnetization = 0.00 μB per formula unit

***

Density functional theory data (PBE) for crystalline KNa2InF at its relaxed geometry. Values from VASP.

Quantum ESPRESSO input file:
```
&SYSTEM
  ibrav = 0, nat = 5, ntyp = 4
/
ATOMIC_SPECIES
Na 22.99 Na.upf
K 39.10 K.upf
F 19.00 F.upf
In 114.82 In.upf
CELL_PARAMETERS angstrom
5.036 0.000 0.000
0.000 5.036 0.000
0.000 0.000 5.264
ATOMIC_POSITIONS crystal
Na 0.000 0.500 0.000
Na 0.500 0.000 0.000
K 0.000 0.000 0.500
F 0.000 0.000 0.000
In 0.500 0.500 0.500
```

Calculated values
Volume = 133.5 Å³ per cell
Uncorrected formation energy = -0.985 eV per atom
Total magnetization = 0.00 μB per formula unit

***

Density functional theory data (PBE) for crystalline KNaInF6 at its relaxed geometry. Values from VASP.

Quantum ESPRESSO input file:
```
&SYSTEM
  ibrav = 0, nat = 18, ntyp = 4
/
ATOMIC_SPECIES
K 39.10 K.upf
Na 22.99 Na.upf
In 114.82 In.upf
F 19.00 F.upf
CELL_PARAMETERS angstrom
-5.905 -0.003 3.212
-0.002 -8.145 -0.012
5.742 4.066 3.526
ATOMIC_POSITIONS crystal
K 0.886 0.636 0.771
K 0.114 0.364 0.229
Na 0.500 0.000 0.500
Na 0.000 0.000 0.500
In 0.500 0.500 0.000
In 0.500 0.000 0.000
F 0.450 0.700 0.901
F 0.886 0.136 0.772
F 0.844 0.096 0.250
F 0.406 0.654 0.250
F 0.406 0.096 0.250
F 0.844 0.654 0.250
F 0.550 0.300 0.099
F 0.114 0.864 0.228
F 0.156 0.904 0.750
F 0.594 0.346 0.750
F 0.594 0.904 0.750
F 0.156 0.346 0.750
```

Calculated values
Volume = 319.5 Å³ per cell
Uncorrected formation energy = -2.303 eV per atom
Total magnetization = 1.00 μB per formula unit

***

Density functional theory data (PBE) for crystalline K2NaInF6 at its relaxed geometry. Values from VASP.

Quantum ESPRESSO input file:
```
&SYSTEM
  ibrav = 0, nat = 20, ntyp = 4
/
ATOMIC_SPECIES
K 39.10 K.upf
Na 22.99 Na.upf
In 114.82 In.upf
F 19.00 F.upf
CELL_PARAMETERS angstrom
6.124 0.000 -0.013
0.000 6.171 0.000
0.036 0.000 8.676
ATOMIC_POSITIONS crystal
K 0.006 0.968 0.250
K 0.506 0.532 0.750
K 0.994 0.032 0.750
K 0.494 0.468 0.250
Na 0.500 0.000 0.000
Na 0.000 0.500 0.500
In 0.500 0.000 0.500
In 0.000 0.500 0.000
F 0.274 0.702 0.033
F 0.774 0.798 0.533
F 0.726 0.298 0.967
F 0.226 0.202 0.467
F 0.300 0.726 0.464
F 0.800 0.774 0.964
F 0.700 0.274 0.536
F 0.200 0.226 0.036
F 0.934 0.518 0.238
F 0.434 0.982 0.738
F 0.066 0.482 0.762
F 0.566 0.018 0.262
```

Calculated values
Volume = 327.9 Å³ per cell
Uncorrected formation energy = -2.758 eV per atom
Total magnetization = 0.00 μB per formula unit

***

Density functional theory data (PBE) for crystalline K2NaInF at its relaxed geometry. Values from VASP.

Quantum ESPRESSO input file:
```
&SYSTEM
  ibrav = 0, nat = 5, ntyp = 4
/
ATOMIC_SPECIES
Na 22.99 Na.upf
K 39.10 K.upf
F 19.00 F.upf
In 114.82 In.upf
CELL_PARAMETERS angstrom
-1.721 -4.104 -3.070
3.900 1.052 -3.593
3.209 -3.242 2.534
ATOMIC_POSITIONS crystal
Na 0.000 0.000 0.500
K 0.000 0.500 0.000
K 0.500 0.000 0.000
F 0.000 0.000 0.000
In 0.500 0.500 0.500
```

Calculated values
Volume = 152.5 Å³ per cell
Uncorrected formation energy = -0.990 eV per atom
Total magnetization = 0.00 μB per formula unit